(1)
# Y2NbPt | Alexandria via LeMat-Bulk | PBE | relaxed
data_Y2NbPt
_cell_length_a 7.132
_cell_length_b 7.132
_cell_length_c 7.132
_cell_angle_alpha 90.00
_cell_angle_beta 90.00
_cell_angle_gamma 90.00
_symmetry_space_group_name_H-M 'F m -3 m'
_symmetry_Int_Tables_number 225
_symmetry_space_group_name_Hall '-F 4 2 3'
loop_
_atom_site_label
_atom_site_fract_x
_atom_site_fract_y
_atom_site_fract_z
Y1 0.250 0.250 0.250
Nb1 0.000 0.000 0.000
Pt1 0.000 0.000 0.500
# electronic total energy: -7.473 eV/atom
# formation energy: -83 kJ/mol of formula units

(2)
# Y2NbPt9 | Alexandria via LeMat-Bulk | PBE | relaxed
data_Y2NbPt9
_cell_length_a 4.089
_cell_length_b 4.089
_cell_length_c 12.247
_cell_angle_alpha 90.00
_cell_angle_beta 90.00
_cell_angle_gamma 90.00
_symmetry_space_group_name_H-M 'P 4/m m m'
_symmetry_Int_Tables_number 123
_symmetry_space_group_name_Hall '-P 4 2'
loop_
_atom_site_label
_atom_site_fract_x
_atom_site_fract_y
_atom_site_fract_z
Y1 0.000 0.000 0.167
Nb1 0.000 0.000 0.500
Pt1 0.000 0.500 0.000
Pt2 0.000 0.500 0.345
Pt3 0.500 0.500 0.173
Pt4 0.500 0.500 0.500
# electronic total energy: -7.350 eV/atom
# formation energy: -1046 kJ/mol of formula units

(3)
# YNb2Pt2 | Alexandria via LeMat-Bulk | PBE | relaxed
data_YNb2Pt2
_cell_length_a 4.816
_cell_length_b 4.816
_cell_length_c 9.385
_cell_angle_alpha 90.00
_cell_angle_beta 90.00
_cell_angle_gamma 90.00
_symmetry_space_group_name_H-M 'I 4/m m m'
_symmetry_Int_Tables_number 139
_symmetry_space_group_name_Hall '-I 4 2'
loop_
_atom_site_label
_atom_site_fract_x
_atom_site_fract_y
_atom_site_fract_z
Y1 0.000 0.000 0.000
Nb1 0.000 0.000 0.359
Pt1 0.000 0.500 0.250
# electronic total energy: -8.013 eV/atom
# excess energy over the best structure of this formula in the dataset: 1.32 eV/f.u.
# formation energy: -133 kJ/mol of formula units

(4)
# YNb3Pt | Alexandria via LeMat-Bulk | PBE | relaxed
data_YNb3Pt
_cell_length_a 4.833
_cell_length_b 4.833
_cell_length_c 4.833
_cell_angle_alpha 90.00
_cell_angle_beta 90.00
_cell_angle_gamma 90.00
_symmetry_space_group_name_H-M 'P m -3 m'
_symmetry_Int_Tables_number 221
_symmetry_space_group_name_Hall '-P 4 2 3'
loop_
_atom_site_label
_atom_site_fract_x
_atom_site_fract_y
_atom_site_fract_z
Y1 0.000 0.000 0.000
Nb1 0.000 0.000 0.500
Pt1 0.500 0.500 0.500
# electronic total energy: -6.481 eV/atom
# excess energy over the best structure of this formula in the dataset: 6.76 eV/f.u.
# formation energy: 995 kJ/mol of formula units

What did the first record say?
# Y2NbPt | Alexandria via LeMat-Bulk | PBE | relaxed
data_Y2NbPt
_cell_length_a 7.132
_cell_length_b 7.132
_cell_length_c 7.132
_cell_angle_alpha 90.00
_cell_angle_beta 90.00
_cell_angle_gamma 90.00
_symmetry_space_group_name_H-M 'F m -3 m'
_symmetry_Int_Tables_number 225
_symmetry_space_group_name_Hall '-F 4 2 3'
loop_
_atom_site_label
_atom_site_fract_x
_atom_site_fract_y
_atom_site_fract_z
Y1 0.250 0.250 0.250
Nb1 0.000 0.000 0.000
Pt1 0.000 0.000 0.500
# electronic total energy: -7.473 eV/atom
# formation energy: -83 kJ/mol of formula units